Below is an optimized crystal structure of Na3Ga2FeO6, with properties calculated at the PBE with a Hubbard U level.

Cell lengths 5.209, 9.021, 5.635 Å; angles 90.00, 107.96, 90.00 degrees
Space group C2/m (No. 12)
One atom of each set of equivalent atoms:
Na 0.000 0.000 0.000 x2
Na 0.000 0.334 0.000 x4
Ga 0.000 0.167 0.500 x4
Fe 0.000 0.500 0.500 x2
O 0.230 0.336 0.696 x8
O 0.237 0.000 0.696 x4

Output
* E: -129.653 eV/cell